Density functional theory data (GGA+U) for crystalline Ni3ClO at its relaxed geometry.

Structure (POSCAR):
```
Ni3ClO
1.0
4.037 0.000 0.000
0.000 4.037 0.000
0.000 0.000 4.037
Ni Cl O
3 1 1
Direct
0.000 0.000 0.500 Ni
0.000 0.500 0.000 Ni
0.500 0.000 0.000 Ni
0.500 0.500 0.500 Cl
0.000 0.000 0.000 O
```

Calculated values
E = -2.951 eV/atom
magnetic moment = 3.00 Bohr magnetons per cell

Density functional theory data (GGA+U) for crystalline NiCl2O4 at its relaxed geometry.

Structure (POSCAR):
```
NiCl2O4
1.0
5.177 0.000 0.000
0.000 7.493 0.000
-5.118 0.000 11.507
Ni Cl O
4 8 16
Direct
0.236 0.156 0.250 Ni
0.236 0.344 0.750 Ni
0.764 0.656 0.250 Ni
0.764 0.844 0.750 Ni
0.048 0.660 0.899 Cl
0.048 0.840 0.399 Cl
0.248 0.159 0.899 Cl
0.248 0.341 0.399 Cl
0.752 0.659 0.601 Cl
0.752 0.841 0.101 Cl
0.952 0.160 0.601 Cl
0.952 0.340 0.101 Cl
0.099 0.564 0.250 O
0.099 0.936 0.750 O
0.222 0.517 0.641 O
0.222 0.983 0.141 O
0.436 0.740 0.751 O
0.436 0.760 0.251 O
0.438 0.517 0.859 O
0.438 0.983 0.359 O
0.562 0.017 0.641 O
0.562 0.483 0.141 O
0.564 0.240 0.749 O
0.564 0.260 0.249 O
0.778 0.017 0.859 O
0.778 0.483 0.359 O
0.901 0.064 0.250 O
0.901 0.436 0.750 O
```

Calculated values
E = -2.969 eV/atom
magnetic moment = 24.09 Bohr magnetons per cell

Density functional theory data (GGA+U) for crystalline NiCl2O at its relaxed geometry.

Structure (POSCAR):
```
NiCl2O
1.0
6.194 0.000 0.000
0.000 6.194 0.000
0.000 0.000 6.194
Ni Cl O
4 8 4
Direct
0.000 0.000 0.000 Ni
0.000 0.500 0.500 Ni
0.500 0.000 0.500 Ni
0.500 0.500 0.000 Ni
0.250 0.250 0.250 Cl
0.250 0.250 0.750 Cl
0.250 0.750 0.250 Cl
0.250 0.750 0.750 Cl
0.750 0.250 0.250 Cl
0.750 0.250 0.750 Cl
0.750 0.750 0.250 Cl
0.750 0.750 0.750 Cl
0.000 0.000 0.500 O
0.000 0.500 0.000 O
0.500 0.000 0.000 O
0.500 0.500 0.500 O
```

Calculated values
E = -1.928 eV/atom
magnetic moment = 1.00 Bohr magnetons per cell

Density functional theory data (GGA+U) for crystalline NiPCl2O at its relaxed geometry.

Structure (POSCAR):
```
NiPCl2O
1.0
4.497 0.000 0.000
0.000 4.497 0.000
0.000 0.000 4.489
Ni P Cl O
1 1 2 1
Direct
0.000 0.000 0.000 Ni
0.000 0.000 0.500 P
0.000 0.500 0.000 Cl
0.500 0.000 0.000 Cl
0.500 0.500 0.500 O
```

Calculated values
E = -2.442 eV/atom
magnetic moment = 0.65 Bohr magnetons per cell

Density functional theory data (GGA+U) for crystalline NiPCl2O at its relaxed geometry.

Structure (POSCAR):
```
NiPCl2O
1.0
5.507 0.000 0.000
0.000 5.507 0.000
0.000 0.000 3.303
Ni P Cl O
1 1 2 1
Direct
0.000 0.000 0.000 Ni
0.500 0.500 0.000 P
0.000 0.500 0.500 Cl
0.500 0.000 0.500 Cl
0.500 0.500 0.500 O
```

Calculated values
E = -2.975 eV/atom
magnetic moment = 1.17 Bohr magnetons per cell

Density functional theory data (GGA+U) for crystalline NiSCl2O at its relaxed geometry.

Structure (POSCAR):
```
NiSCl2O
1.0
4.578 0.000 0.000
0.000 4.578 0.000
0.000 0.000 4.058
Ni S Cl O
1 1 2 1
Direct
0.000 0.000 0.000 Ni
0.500 0.500 0.000 S
0.000 0.500 0.500 Cl
0.500 0.000 0.500 Cl
0.500 0.500 0.500 O
```

Calculated values
E = -2.266 eV/atom
magnetic moment = 1.51 Bohr magnetons per cell

Density functional theory data (GGA+U) for crystalline NiSCl2O at its relaxed geometry.

Structure (POSCAR):
```
NiSCl2O
1.0
4.766 0.000 0.000
0.000 4.766 0.000
0.000 0.000 4.753
Ni S Cl O
1 1 2 1
Direct
0.000 0.000 0.000 Ni
0.000 0.000 0.500 S
0.000 0.500 0.000 Cl
0.500 0.000 0.000 Cl
0.500 0.500 0.500 O
```

Calculated values
E = -2.410 eV/atom
magnetic moment = 5.75 Bohr magnetons per cell

Density functional theory data (GGA+U) for crystalline NiSb2ClO at its relaxed geometry.

Structure (POSCAR):
```
NiSb2ClO
1.0
5.333 0.000 0.000
0.000 5.333 0.000
0.000 0.000 3.488
Ni Sb Cl O
1 2 1 1
Direct
0.000 0.000 0.000 Ni
0.000 0.500 0.000 Sb
0.500 0.000 0.000 Sb
0.500 0.500 0.500 Cl
0.000 0.000 0.500 O
```

Calculated values
E = -3.403 eV/atom
magnetic moment = 0.00 Bohr magnetons per cell

Density functional theory data (GGA+U) for crystalline Sr2NiSe2Cl2O6 at its relaxed geometry.

Structure (POSCAR):
```
Sr2NiSe2Cl2O6
1.0
5.427 0.000 0.000
0.000 6.503 0.000
-4.754 0.000 12.425
Sr Ni Se Cl O
4 2 4 4 12
Direct
0.219 0.203 0.234 Sr
0.219 0.297 0.734 Sr
0.781 0.703 0.266 Sr
0.781 0.797 0.766 Sr
0.500 0.000 0.000 Ni
0.500 0.500 0.500 Ni
0.078 0.740 0.073 Se
0.078 0.760 0.573 Se
0.922 0.240 0.427 Se
0.922 0.260 0.927 Se
0.452 0.678 0.897 Cl
0.452 0.822 0.397 Cl
0.548 0.178 0.603 Cl
0.548 0.322 0.103 Cl
0.107 0.572 0.176 O
0.107 0.928 0.676 O
0.114 0.071 0.896 O
0.114 0.429 0.396 O
0.379 0.629 0.621 O
0.379 0.871 0.121 O
0.621 0.129 0.879 O
0.621 0.371 0.379 O
0.886 0.571 0.604 O
0.886 0.929 0.104 O
0.893 0.072 0.324 O
0.893 0.428 0.824 O
```

Calculated values
E = -5.250 eV/atom
magnetic moment = 4.04 Bohr magnetons per cell

Density functional theory data (GGA+U) for crystalline NiSnClO2 at its relaxed geometry.

Structure (POSCAR):
```
NiSnClO2
1.0
3.920 0.000 0.000
0.000 3.920 0.000
0.000 0.000 5.619
Ni Sn Cl O
1 1 1 2
Direct
0.000 0.000 0.000 Ni
0.500 0.500 0.500 Sn
0.500 0.500 0.000 Cl
0.000 0.500 0.500 O
0.500 0.000 0.500 O
```

Calculated values
E = -4.163 eV/atom
magnetic moment = 1.00 Bohr magnetons per cell

Density functional theory data (GGA+U) for crystalline Sr2NiClO3 at its relaxed geometry.

Structure (POSCAR):
```
Sr2NiClO3
1.0
3.897 0.000 0.000
0.000 3.897 0.000
0.000 0.000 14.713
Sr Ni Cl O
4 2 2 6
Direct
0.250 0.250 0.094 Sr
0.250 0.250 0.339 Sr
0.750 0.750 0.661 Sr
0.750 0.750 0.906 Sr
0.250 0.250 0.794 Ni
0.750 0.750 0.206 Ni
0.250 0.250 0.579 Cl
0.750 0.750 0.421 Cl
0.250 0.250 0.927 O
0.250 0.750 0.226 O
0.250 0.750 0.774 O
0.750 0.250 0.226 O
0.750 0.250 0.774 O
0.750 0.750 0.073 O
```

Calculated values
E = -5.265 eV/atom
magnetic moment = 1.99 Bohr magnetons per cell

Density functional theory data (GGA+U) for crystalline TcNiClO4 at its relaxed geometry.

Structure (POSCAR):
```
TcNiClO4
1.0
5.780 -3.444 0.000
5.780 3.444 0.000
-2.524 0.000 6.636
Tc Ni Cl O
2 2 2 8
Direct
0.147 0.147 0.294 Tc
0.853 0.853 0.706 Tc
0.361 0.361 0.838 Ni
0.639 0.639 0.162 Ni
0.445 0.445 0.191 Cl
0.555 0.555 0.809 Cl
0.001 0.001 0.707 O
0.040 0.624 0.833 O
0.251 0.251 0.543 O
0.376 0.960 0.167 O
0.624 0.040 0.833 O
0.749 0.749 0.457 O
0.960 0.376 0.167 O
0.999 0.999 0.293 O
```

Calculated values
E = -6.131 eV/atom
magnetic moment = 4.11 Bohr magnetons per cell

Density functional theory data (GGA+U) for crystalline Ni7Te6Cl2O18 at its relaxed geometry.

Structure (POSCAR):
```
Ni7Te6Cl2O18
1.0
5.645 3.259 4.538
-5.645 3.259 4.538
0.000 -6.518 4.538
Ni Te Cl O
7 6 2 18
Direct
0.000 0.000 0.000 Ni
0.041 0.120 0.370 Ni
0.120 0.370 0.041 Ni
0.370 0.041 0.120 Ni
0.630 0.959 0.880 Ni
0.880 0.630 0.959 Ni
0.959 0.880 0.630 Ni
0.196 0.707 0.294 Te
0.293 0.706 0.804 Te
0.294 0.196 0.707 Te
0.706 0.804 0.293 Te
0.707 0.294 0.196 Te
0.804 0.293 0.706 Te
0.296 0.296 0.296 Cl
0.704 0.704 0.704 Cl
0.035 0.584 0.161 O
0.066 0.789 0.854 O
0.077 0.700 0.495 O
0.146 0.934 0.211 O
0.161 0.035 0.584 O
0.211 0.146 0.934 O
0.300 0.505 0.923 O
0.416 0.839 0.965 O
0.495 0.077 0.700 O
0.505 0.923 0.300 O
0.584 0.161 0.035 O
0.700 0.495 0.077 O
0.789 0.854 0.066 O
0.839 0.965 0.416 O
0.854 0.066 0.789 O
0.923 0.300 0.505 O
0.934 0.211 0.146 O
0.965 0.416 0.839 O
```

Calculated values
E = -4.996 eV/atom
magnetic moment = 13.98 Bohr magnetons per cell

Density functional theory data (GGA+U) for crystalline TiNiCl2O at its relaxed geometry.

Structure (POSCAR):
```
TiNiCl2O
1.0
5.210 0.000 0.000
0.000 5.210 0.000
0.000 0.000 3.296
Ti Ni Cl O
1 1 2 1
Direct
0.000 0.000 0.000 Ti
0.500 0.500 0.000 Ni
0.000 0.500 0.500 Cl
0.500 0.000 0.500 Cl
0.500 0.500 0.500 O
```

Calculated values
E = -3.540 eV/atom
magnetic moment = 0.00 Bohr magnetons per cell

Density functional theory data (GGA+U) for crystalline ZnNi2ClO3 at its relaxed geometry.

Structure (POSCAR):
```
ZnNi2ClO3
1.0
3.049 1.760 5.277
-3.049 1.760 5.277
0.000 -3.520 5.277
Zn Ni Cl O
2 4 2 6
Direct
0.083 0.083 0.083 Zn
0.917 0.917 0.917 Zn
0.000 0.500 0.500 Ni
0.500 0.000 0.500 Ni
0.500 0.500 0.000 Ni
0.500 0.500 0.500 Ni
0.230 0.230 0.230 Cl
0.770 0.770 0.770 Cl
0.254 0.254 0.694 O
0.254 0.694 0.254 O
0.306 0.746 0.746 O
0.694 0.254 0.254 O
0.746 0.306 0.746 O
0.746 0.746 0.306 O
```

Calculated values
E = -4.231 eV/atom
magnetic moment = 6.00 Bohr magnetons per cell